A relaxed structure of TcIrBr2. Source: Alexandria via LeMat-Bulk, functional PBE.

Results
The density comes out at 10.3 g/cm3. For the density of states at the Fermi level, the calculation gives 3.50 states/eV/cell. As for the energy above the most stable polymorph in this dataset: 0.912 eV per atom. For the energy relative to the elements, uncorrected, the calculation gives 1.078 eV per atom. As for the magnetic moment: 0.254 μB per atom.

a = 3.1321 Å, b = 4.4135 Å, c = 5.2809 Å
α = 90.00°, β = 94.09°, γ = 90.00°
Last column: nearest neighbours and their distance in Å.
Space group P2/m (No. 10)
Unique sites:
Tc 0.0000 0.0000 0.0000  4 Br 2.65
Ir 0.5000 0.0000 0.5000  4 Br 2.67, 2 Tc 2.97
Br 0.2385 0.5000 0.2484  2 Tc 2.65, 2 Ir 2.67, 1 Br 2.92

A relaxed structure of PmNd4Cu. Source: Alexandria via LeMat-Bulk, functional PBE.

Results
The density comes out at 7.0 g/cm3. For the density of states at the Fermi level, the calculation gives 8.77 states/eV/cell. Its energy relative to the elements is -0.028 eV/atom. As for the magnetic moment: 0.000 μB per atom.

a = 3.6536 Å, b = 3.6536 Å, c = 14.0126 Å
α = 90.00°, β = 90.00°, γ = 90.00°
Last column: nearest neighbours and their distance in Å.
Space group P4/mmm (No. 123)
Unique sites:
Pm 0.0000 0.0000 0.0000  4 Pm 3.65, 8 Nd 3.66
Nd 0.0000 0.0000 0.3763  4 Cu 3.11, 1 Nd 3.47
Nd 0.5000 0.5000 0.1846  8 Nd 3.65-3.73, 4 Pm 3.66
Cu 0.5000 0.5000 0.5000  8 Nd 3.11